Density functional theory data (PBE) for an optimized crystal structure of Pm2MgZrO6.

Lattice parameters (Å, degrees): 5.576 5.819 9.760 90.00 124.12 90.00
Element x y z (fractional)
Pm  0.229  0.058  0.248
Pm  0.229  0.442  0.748
Pm  0.771  0.558  0.252
Pm  0.771  0.942  0.752
Mg  0.000  0.000  0.500
Mg  0.000  0.500  0.000
Zr  0.500  0.000  0.000
Zr  0.500  0.500  0.500
O  0.137  0.198  0.941
O  0.137  0.302  0.441
O  0.238  0.701  0.936
O  0.238  0.799  0.436
O  0.368  0.046  0.751
O  0.368  0.454  0.251
O  0.632  0.546  0.749
O  0.632  0.954  0.249
O  0.762  0.201  0.564
O  0.762  0.299  0.064
O  0.863  0.698  0.559
O  0.863  0.802  0.059

Values from the calculation:
Space group ... P2_1/c, No. 14
Raw formation energy ... -3.26 eV/atom



Density functional theory data (PBE) for an optimized crystal structure of Sr2GaPbS5.

Lattice parameters (Å, degrees): 9.273 9.273 12.542 90.00 90.00 155.38
Element x y z (fractional)
Sr  0.111  0.889  0.500
Sr  0.123  0.877  0.148
Sr  0.877  0.123  0.648
Sr  0.889  0.111  0.000
Ga  0.449  0.551  0.244
Ga  0.551  0.449  0.744
Pb  0.208  0.792  0.855
Pb  0.792  0.208  0.355
S  0.030  0.970  0.844
S  0.284  0.716  0.511
S  0.326  0.674  0.190
S  0.354  0.646  0.826
S  0.494  0.506  0.585
S  0.506  0.494  0.085
S  0.646  0.354  0.326
S  0.674  0.326  0.690
S  0.716  0.284  0.011
S  0.970  0.030  0.344

Values from the calculation:
Space group ... Cmc2_1, No. 36
Raw formation energy ... -1.20 eV/atom



Question: Which of these has the lowest raw formation energy?
Answer: Pm2MgZrO6



Question: raw formation energy of number 2 (Sr2GaPbS5)?
Answer: -1.20 eV/atom



Question: Which value of raw formation energy does entry 2 give?
Answer: -1.20 eV/atom



Question: What is the formula in the second record?
Answer: Sr2GaPbS5